No. 1
A geometry-optimized TlMo3C2 structure. Source: the Open Quantum Materials Database, functional PBE.

Cell: 3.1390 3.1390 19.2655 Å, 90.00 90.00 120.00°
Space group P6_3/mmc (No. 194)
Asymmetric unit:
Tl 0.0000 0.0000 0.2500 x2
Mo 0.0000 0.0000 0.0000 x2
Mo 0.3333 0.6667 0.1222 x4
C 0.3333 0.6667 0.5675 x4

Output
DFT total energy: -8.717 eV per atom
ρ: 10.4 g/cm3

No. 2
A geometry-optimized TlMo2C structure. Source: the Open Quantum Materials Database, functional PBE.

Cell: 3.180 5.511 14.019 Å, 90.00 90.00 90.00°
Space group Cmcm (No. 63)
Asymmetric unit:
Tl 0.000 0.168 0.250 x4
Mo 0.000 0.167 0.578 x8
C 0.000 0.500 0.000 x4

Output
DFT total energy: -8.141 eV per atom
ρ: 11.0 g/cm3

No. 3
A geometry-optimized Y4Tl3Mo2C3 structure. Source: the Open Quantum Materials Database, functional PBE.

Cell: 10.319 6.024 15.525 Å, 90.00 103.61 90.00°
Space group C2/c (No. 15)
Asymmetric unit:
Y 0.116 0.070 0.091 x8
Y 0.212 0.090 0.408 x8
Tl 0.000 0.129 0.750 x4
Tl 0.146 0.435 0.245 x8
Mo 0.067 0.411 0.936 x8
C 0.074 0.276 0.500 x8
C 0.250 0.250 0.000 x4

Output
DFT total energy: -7.166 eV per atom
ρ: 8.5 g/cm3

No. 4
A geometry-optimized Zr2Tl3Mo4C3 structure. Source: the Open Quantum Materials Database, functional PBE.

Cell: 9.739 5.632 14.644 Å, 90.00 103.10 90.00°
Space group C2/c (No. 15)
Asymmetric unit:
Zr 0.052 0.082 0.409 x8
Tl 0.000 0.447 0.250 x4
Tl 0.182 0.095 0.750 x8
Mo 0.108 0.414 0.573 x8
Mo 0.226 0.418 0.927 x8
C 0.085 0.255 0.000 x8
C 0.250 0.250 0.500 x4

Output
DFT total energy: -8.070 eV per atom
ρ: 10.3 g/cm3

No. 5
A geometry-optimized Mo3WC3 structure. Source: the Open Quantum Materials Database, functional PBE.

Cell: 10.041 3.024 5.281 Å, 90.00 99.19 90.00°
Space group Cm (No. 8)
Asymmetric unit:
Mo 0.000 0.000 0.000 x2
Mo 0.001 0.500 0.532 x2
Mo 0.265 0.500 0.311 x2
W 0.263 0.000 0.777 x2
C 0.123 0.000 0.399 x2
C 0.143 0.500 0.911 x2
C 0.382 0.000 0.154 x2

Output
DFT total energy: -10.401 eV per atom
ρ: 10.7 g/cm3

No. 6
A geometry-optimized MoWC2 structure. Source: the Open Quantum Materials Database, functional PBE.

Cell: 2.892 2.892 21.057 Å, 90.00 90.00 90.00°
Space group I4_1md (No. 109)
Asymmetric unit:
Mo 0.000 0.000 0.000 x4
W 0.000 0.000 0.370 x4
C 0.000 0.000 0.540 x4
C 0.000 0.000 0.902 x4

Output
DFT total energy: -10.326 eV per atom
ρ: 11.5 g/cm3

No. 7
A geometry-optimized Y2MoWC3 structure. Source: the Open Quantum Materials Database, functional PBE.

Cell: 11.340 3.400 5.703 Å, 90.00 107.70 90.00°
Space group Cm (No. 8)
Asymmetric unit:
Y 0.000 0.000 0.000 x2
Y 0.228 0.000 0.645 x2
Mo 0.465 0.000 0.450 x2
W 0.265 0.500 0.198 x2
C 0.114 0.500 0.320 x2
C 0.342 0.000 0.081 x2
C 0.385 0.500 0.562 x2

Output
DFT total energy: -9.515 eV per atom
ρ: 7.8 g/cm3

No. 8
A geometry-optimized Y2MoWC3 structure. Source: the Open Quantum Materials Database, functional PBE.

Cell: 11.341 3.400 5.707 Å, 90.00 107.72 90.00°
Space group Cm (No. 8)
Asymmetric unit:
Y 0.000 0.000 0.000 x2
Y 0.228 0.000 0.645 x2
Mo 0.465 0.000 0.450 x2
W 0.265 0.500 0.198 x2
C 0.114 0.500 0.320 x2
C 0.342 0.000 0.081 x2
C 0.385 0.500 0.563 x2

Output
DFT total energy: -9.515 eV per atom
ρ: 7.8 g/cm3